Material: RbLiY2F8
Method: DFT, GGA-PBE
State: optimized geometry

Structure (POSCAR):
```
RbLiY2F8
1.0
3.942 -0.004 0.007
0.010 6.294 -0.478
-0.012 -0.651 7.531
Rb Li Y F
1 1 2 8
direct
0.000 0.000 0.500
0.000 0.000 0.000
0.499 0.547 0.761
0.501 0.453 0.239
0.001 0.617 0.261
0.501 0.716 0.044
0.999 0.209 0.200
0.999 0.383 0.739
0.499 0.284 0.956
0.001 0.791 0.800
0.500 0.702 0.515
0.500 0.298 0.485
```

Computed properties:
* formation energy (no corrections): -3.647 eV/atom